Record 1
Y2HoNpN4 | PBE-GGA | relaxed

Output
Its formation energy from raw total energies is -1.56 eV/atom.

Cell: 5.972 3.460 5.976 Å, 90.00 108.99 90.00°
Atoms (fractional coordinates):
Y 0.000 0.000 0.000
Y 0.500 0.500 0.000
Ho 0.000 0.500 0.500
Np 0.500 0.000 0.500
N 0.257 0.500 0.259
N 0.259 0.000 0.738
N 0.741 0.000 0.262
N 0.743 0.500 0.741


Record 2
KAg2Au | PBE-GGA | relaxed

Output
The relative energy among the computed polymorphs is 0.2635 eV/atom. The value obtained for the formation energy is 159 meV per atom.

Cell: 6.186 6.186 2.961 Å, 102.92 102.92 119.88°
Atoms (fractional coordinates):
K 0.000 0.000 0.000
Ag 0.000 0.500 0.500
Ag 0.500 0.000 0.500
Au 0.500 0.500 0.000


Record 3
HgBiPb5 | PBE-GGA | relaxed

Output
The relative energy among the computed polymorphs is 0.0219 eV/atom. The value obtained for the formation energy is 74 meV per atom.

Cell: 6.847 6.847 11.925 Å, 100.64 100.64 55.98°
Atoms (fractional coordinates):
Hg 0.000 0.000 0.000
Hg 0.000 0.000 0.500
Bi 0.318 0.682 0.750
Bi 0.682 0.318 0.250
Pb 0.172 0.301 0.184
Pb 0.185 0.815 0.250
Pb 0.301 0.172 0.684
Pb 0.303 0.423 0.468
Pb 0.423 0.303 0.968
Pb 0.577 0.697 0.032
Pb 0.697 0.577 0.532
Pb 0.699 0.828 0.316
Pb 0.815 0.185 0.750
Pb 0.828 0.699 0.816


| no. | V (Å³/atom) | ρ (Mg/m³) | E_tot (eV per cell) |
| --- | --- | --- | --- |
| 1 | 14.594 | 9.04 | -76.2 |
| 2 | 21.975 | 8.54 | -9.4 |
| 3 | 32.370 | 10.59 | -44.4 |